DFT (PBE with a Hubbard U) results for a relaxed Sr4Ni6F19 crystal.

Output
D(E_F) in states/eV/atom: 0.3788
Energy in eV per atom: -4.77
Theoretical density in Mg/m³: 4.6
Total magnetization in μB/f.u.: 11.0

abc: 7.9262 7.9262 7.9262
angles: 109.47 109.47 109.47
Last column: nearest neighbours and their distance in Å.
Positions (direct):
1 Sr 0.0000 0.0000 0.6711  10 F 2.61-2.67
2 Sr 0.0000 0.6711 0.0000  10 F 2.61-2.67
3 Sr 0.3289 0.3289 0.3289  10 F 2.61-2.67
4 Sr 0.6711 0.0000 0.0000  10 F 2.61-2.67
5 Ni 0.1612 0.6612 0.5000  6 F 2.00-2.09
6 Ni 0.3388 0.5000 0.8388  6 F 2.00-2.09
7 Ni 0.5000 0.1612 0.6612  6 F 2.00-2.09
8 Ni 0.5000 0.8388 0.3388  6 F 2.00-2.09
9 Ni 0.6612 0.5000 0.1612  6 F 2.00-2.09
10 Ni 0.8388 0.3388 0.5000  6 F 2.00-2.09
11 F 0.0000 0.0000 0.0000  4 Sr 2.61
12 F 0.0000 0.3376 0.3376  2 Ni 2.09
13 F 0.0000 0.6624 0.6624  2 Ni 2.09
14 F 0.0332 0.3694 0.7613  2 Ni 2.00-2.06
15 F 0.2387 0.6080 0.2719  2 Ni 2.00-2.06
16 F 0.2719 0.2387 0.6080  2 Ni 2.00-2.06
17 F 0.3361 0.9668 0.7281  2 Ni 2.00-2.06
18 F 0.3376 0.0000 0.3376  2 Ni 2.09
19 F 0.3376 0.3376 0.0000  2 Ni 2.09
20 F 0.3694 0.7613 0.0332  2 Ni 2.00-2.06
21 F 0.3920 0.6306 0.6639  2 Ni 2.00-2.06
22 F 0.6080 0.2719 0.2387  2 Ni 2.00-2.06
23 F 0.6306 0.6639 0.3920  2 Ni 2.00-2.06
24 F 0.6624 0.0000 0.6624  2 Ni 2.09
25 F 0.6624 0.6624 0.0000  2 Ni 2.09
26 F 0.6639 0.3920 0.6306  2 Ni 2.00-2.06
27 F 0.7281 0.3361 0.9668  2 Ni 2.00-2.06
28 F 0.7613 0.0332 0.3694  2 Ni 2.00-2.06
29 F 0.9668 0.7281 0.3361  2 Ni 2.00-2.06